# Sr3La2FeCo4O15 (GGA+U, optimized geometry)
data_Sr3La2FeCo4O15
_chemical_formula_sum 'Sr3 La2 Fe1 Co4 O15'
_cell_length_a 11.5560
_cell_length_b 11.5560
_cell_length_c 11.5560
_cell_angle_alpha 27.41
_cell_angle_beta 27.41
_cell_angle_gamma 27.41
_space_group_name_H-M_alt 'P 1'
_space_group_IT_number 1
loop_
_space_group_symop_operation_xyz
'x,y,z'
loop_
_atom_site_label
_atom_site_fract_x
_atom_site_fract_y
_atom_site_fract_z
O1 0.9035 0.3980 0.3980
La1 0.1004 0.1004 0.1004
O2 0.8045 0.8045 0.2867
Sr1 0.2997 0.2997 0.2997
Co1 0.6011 0.6011 0.6011
O3 0.3980 0.3980 0.9035
O4 0.6019 0.0979 0.6019
O5 0.4953 0.0019 0.0019
O6 0.7128 0.1943 0.1943
Fe1 0.3990 0.3990 0.3990
O7 0.0019 0.4953 0.0019
O8 0.1943 0.7128 0.1943
O9 0.6019 0.6019 0.0979
O10 0.8045 0.2867 0.8045
O11 0.0979 0.6019 0.6019
Sr2 0.5009 0.5009 0.5009
O12 0.0019 0.0019 0.4953
O13 0.3980 0.9035 0.3980
O14 0.2867 0.8045 0.8045
O15 0.1943 0.1943 0.7128
Co2 0.2004 0.2004 0.2004
La2 0.9012 0.9012 0.9012
Co3 0.9998 0.9998 0.9998
Co4 0.8011 0.8011 0.8011
Sr3 0.6991 0.6991 0.6991
# Uncorrected energy in eV/cell: -163.21
# SG: R3m
# ρ in Mg/m³: 6.17